The following is a PBE calculation of an optimized crystal structure of Ca4Ni5, from Alexandria via LeMat-Bulk.

Computed properties:
ΔH_f (0 K) = 226 meV per atom
E above lowest polymorph = 113.4 meV per atom
E = -69.76 eV for the cell shown
Crystal system = hexagonal

abc: 8.260 8.260 5.786
angles: 90.00 90.00 120.00
Positions (direct):
Ca1 0.000 0.000 0.000
Ca2 0.000 0.000 0.500
Ca3 0.000 0.375 0.250
Ca4 0.000 0.625 0.750
Ca5 0.375 0.000 0.250
Ca6 0.375 0.375 0.750
Ca7 0.625 0.000 0.750
Ca8 0.625 0.625 0.250
Ni1 0.000 0.308 0.750
Ni2 0.000 0.692 0.250
Ni3 0.308 0.000 0.750
Ni4 0.308 0.308 0.250
Ni5 0.333 0.667 0.000
Ni6 0.333 0.667 0.500
Ni7 0.667 0.333 0.000
Ni8 0.667 0.333 0.500
Ni9 0.692 0.000 0.250
Ni10 0.692 0.692 0.750